Entry 1:
Compound: YZn2PRu2
Source: Alexandria
Functional: PBE-GGA
Structure: relaxed

Cell lengths 4.3783, 4.3783, 5.5850 Å; angles 90.00, 90.00, 90.00 degrees
Atoms (fractional coordinates):
Y  0.0000  0.0000  0.0000
Zn  0.5000  0.5000  0.2203
Zn  0.5000  0.5000  0.7797
P  0.0000  0.0000  0.5000
Ru  0.0000  0.5000  0.5000
Ru  0.5000  0.0000  0.5000

Calculated values
As for the density: 7.02 Mg/m³. The value obtained for the density of states at the Fermi level is 2.2 states/eV/cell. The energy of formation comes out at -226 kJ/mol of formula units.

=====

Entry 2:
Compound: Zn2P2Ru
Source: Alexandria
Functional: PBE-GGA
Structure: relaxed

Cell lengths 5.9648, 5.9648, 4.2223 Å; angles 90.00, 90.00, 90.00 degrees
Atoms (fractional coordinates):
Zn  0.2021  0.2979  0.0000
Zn  0.2979  0.7979  0.0000
Zn  0.7021  0.2021  0.0000
Zn  0.7979  0.7021  0.0000
P  0.1309  0.6309  0.5000
P  0.3691  0.1309  0.5000
P  0.6309  0.8691  0.5000
P  0.8691  0.3691  0.5000
Ru  0.0000  0.0000  0.5000
Ru  0.5000  0.5000  0.5000

Calculated values
As for the density: 6.50 Mg/m³. The value obtained for the density of states at the Fermi level is 2.8 states/eV/cell. The energy of formation comes out at -34 kJ/mol of formula units.

=====

Entry 3:
Compound: ZnPRu3
Source: Alexandria
Functional: PBE-GGA
Structure: relaxed

Cell lengths 4.4693, 4.4693, 4.4693 Å; angles 90.00, 90.00, 90.00 degrees
Atoms (fractional coordinates):
Zn  0.0000  0.0000  0.0000
P  0.5000  0.5000  0.5000
Ru  0.0000  0.0000  0.5000
Ru  0.0000  0.5000  0.0000
Ru  0.5000  0.0000  0.0000

Calculated values
As for the density: 7.43 Mg/m³. The value obtained for the density of states at the Fermi level is 10.4 states/eV/cell. Its offset from the most stable computed form is 1.443 eV per atom. The energy of formation comes out at 853 kJ/mol of formula units.

=====

Entry 4:
Compound: Zn2PRu2
Source: Alexandria
Functional: PBE-GGA
Structure: relaxed

Cell lengths 5.9964, 5.9964, 4.1273 Å; angles 90.00, 90.00, 90.00 degrees
Atoms (fractional coordinates):
Zn  0.1512  0.3488  0.0000
Zn  0.3488  0.8488  0.0000
Zn  0.6512  0.1512  0.0000
Zn  0.8488  0.6512  0.0000
P  0.0000  0.0000  0.5000
P  0.5000  0.5000  0.5000
Ru  0.1583  0.6583  0.5000
Ru  0.3417  0.1583  0.5000
Ru  0.6583  0.8417  0.5000
Ru  0.8417  0.3417  0.5000

Calculated values
As for the density: 8.14 Mg/m³. The value obtained for the density of states at the Fermi level is 4.0 states/eV/cell. The energy of formation comes out at -130 kJ/mol of formula units.